w) CrMo3C | Alexandria | GGA-PBE | relaxed; Fermi-level density of states = 6.1 states/eV/cell; total magnetization = 0.00 μB/cell
1.0
4.111 0.000 0.000
0.000 4.111 0.000
0.000 0.000 4.111
Cr Mo C
1 3 1
direct
0.000 0.000 0.000
0.000 0.500 0.500
0.500 0.000 0.500
0.500 0.500 0.000
0.500 0.500 0.500

x) CrMo3C | Alexandria | GGA-PBE | relaxed; Fermi-level density of states = 7.7 states/eV/cell; total magnetization = 0.00 μB/cell
1.0
4.436 0.000 0.000
0.000 4.436 0.000
0.000 0.000 4.436
Cr Mo C
1 3 1
direct
0.000 0.000 0.000
0.000 0.000 0.500
0.000 0.500 0.000
0.500 0.000 0.000
0.500 0.500 0.500

Verdict on stability: w) comes out on top.

w) CrMoC | Alexandria | GGA-PBE | relaxed; Fermi-level density of states = 3.2 states/eV/cell; total magnetization = 0.00 μB/cell
1.0
4.551 0.000 0.000
0.000 2.921 0.000
-1.155 0.000 5.098
Cr Mo C
2 2 2
direct
0.157 0.250 0.171
0.843 0.750 0.829
0.320 0.250 0.721
0.680 0.750 0.279
0.222 0.750 0.412
0.778 0.250 0.588

x) CrMoC | Alexandria | GGA-PBE | relaxed; Fermi-level density of states = 8.7 states/eV/cell; total magnetization = 0.00 μB/cell
1.0
4.589 0.000 0.000
0.000 5.072 0.000
-4.240 0.000 5.827
Cr Mo C
4 4 4
direct
0.127 0.079 0.380
0.127 0.421 0.880
0.873 0.579 0.120
0.873 0.921 0.620
0.380 0.581 0.623
0.380 0.919 0.123
0.620 0.081 0.877
0.620 0.419 0.377
0.114 0.244 0.626
0.114 0.256 0.126
0.886 0.744 0.874
0.886 0.756 0.374

Verdict on stability: x) comes out on top.

w) Cr3MoC | Alexandria | GGA-PBE | relaxed; Fermi-level density of states = 12.4 states/eV/cell; total magnetization = 0.00 μB/cell
1.0
4.428 0.000 0.000
0.000 4.428 0.000
0.000 0.000 4.428
Cr Mo C
3 1 1
direct
0.000 0.000 0.500
0.000 0.500 0.000
0.500 0.000 0.000
0.000 0.000 0.000
0.500 0.500 0.500

x) Cr3MoC | Alexandria | GGA-PBE | relaxed; Fermi-level density of states = 6.5 states/eV/cell; total magnetization = 0.00 μB/cell
1.0
3.867 0.000 0.000
0.000 3.867 0.000
0.000 0.000 3.867
Cr Mo C
3 1 1
direct
0.000 0.000 0.500
0.000 0.500 0.000
0.500 0.000 0.000
0.500 0.500 0.500
0.000 0.000 0.000

Verdict on stability: x) comes out on top.

w) CrCN | Alexandria | GGA-PBE | relaxed; Fermi-level density of states = 1.0 states/eV/cell; total magnetization = 1.09 μB/cell
1.0
3.146 -1.505 0.000
3.146 1.505 0.000
-3.056 0.000 3.251
Cr C N
1 1 1
direct
0.000 0.000 0.000
0.768 0.768 0.133
0.757 0.757 0.419

x) CrCN | Alexandria | GGA-PBE | relaxed; Fermi-level density of states = 1.7 states/eV/cell; total magnetization = 0.00 μB/cell
1.0
2.663 0.000 0.000
0.001 3.285 0.000
1.327 0.585 3.124
Cr C N
1 1 1
direct
0.000 0.000 0.000
0.698 0.783 0.598
0.543 0.463 0.913

Verdict on stability: w) comes out on top.

w) CrCN | Alexandria | GGA-PBE | relaxed; Fermi-level density of states = 2.2 states/eV/cell; total magnetization = 0.00 μB/cell
1.0
2.706 0.000 0.000
-1.353 2.344 0.000
0.000 0.000 3.870
Cr C N
1 1 1
direct
0.000 0.000 0.000
0.667 0.333 0.344
0.667 0.333 0.682

x) CrCN | Alexandria | GGA-PBE | relaxed; Fermi-level density of states = 1.6 states/eV/cell; total magnetization = 0.00 μB/cell
1.0
2.575 0.000 0.000
0.000 1.372 3.670
0.000 -1.372 3.670
Cr C N
1 1 1
direct
0.000 0.000 0.000
0.500 0.371 0.371
0.500 0.191 0.191

Verdict on stability: w) comes out on top.

w) CrCN | Alexandria | GGA-PBE | relaxed; Fermi-level density of states = 2.1 states/eV/cell; total magnetization = 0.00 μB/cell
1.0
1.356 0.783 3.862
-1.356 0.783 3.862
0.000 -1.565 3.862
Cr C N
1 1 1
direct
0.000 0.000 0.000
0.448 0.448 0.448
0.561 0.561 0.561

x) CrCN | Alexandria | GGA-PBE | relaxed; Fermi-level density of states = 1.6 states/eV/cell; total magnetization = 0.00 μB/cell
1.0
-1.388 1.388 3.720
1.388 -1.388 3.720
1.388 1.388 -3.720
Cr C N
1 1 1
direct
0.000 0.000 0.000
0.597 0.597 0.000
0.773 0.773 0.000

Verdict on stability: w) comes out on top.